[1]
LiLa5Nd4 | GGA-PBE | optimized geometry

Unit cell a=3.7150 b=3.7150 c=25.2661 alpha=90.00 beta=90.00 gamma=90.00
Positions (direct):
Li 0.0000 0.0000 0.0000
La 0.5000 0.5000 0.0870
La 0.5000 0.5000 0.2920
La 0.5000 0.5000 0.5000
La 0.5000 0.5000 0.7080
La 0.5000 0.5000 0.9130
Nd 0.0000 0.0000 0.1884
Nd 0.0000 0.0000 0.3965
Nd 0.0000 0.0000 0.6035
Nd 0.0000 0.0000 0.8116

formation energy from the elements	28	meV/atom
crystal system	tetragonal
VASP energy	-45.34	eV for the cell shown


[2]
CaRe | GGA-PBE | optimized geometry

Unit cell a=8.2500 b=8.2500 c=8.2500 alpha=90.00 beta=90.00 gamma=90.00
Positions (direct):
Ca 0.0000 0.2500 0.5000
Ca 0.0000 0.7500 0.5000
Ca 0.2500 0.5000 0.0000
Ca 0.5000 0.0000 0.2500
Ca 0.5000 0.0000 0.7500
Ca 0.7500 0.5000 0.0000
Re 0.0000 0.5000 0.2500
Re 0.0000 0.5000 0.7500
Re 0.2500 0.0000 0.5000
Re 0.5000 0.2500 0.0000
Re 0.5000 0.7500 0.0000
Re 0.7500 0.0000 0.5000

formation energy from the elements	3007	meV/atom
crystal system	cubic
VASP energy	-50.61	eV for the cell shown


[3]
CsPuCl2F | GGA-PBE | optimized geometry

Unit cell a=5.7140 b=5.7140 c=4.7120 alpha=90.00 beta=90.00 gamma=90.00
Positions (direct):
Cs 0.0000 0.0000 0.0000
Pu 0.5000 0.5000 0.5000
Cl 0.0000 0.5000 0.5000
Cl 0.5000 0.0000 0.5000
F 0.5000 0.5000 0.0000

formation energy from raw total energies	-11.09	eV/f.u.
crystal system	tetragonal
VASP energy	-31.84	eV for the cell shown


[4]
UInPd4 | GGA-PBE | optimized geometry

Unit cell a=8.2304 b=8.2304 c=5.1648 alpha=98.56 beta=98.56 gamma=135.10
Positions (direct):
U 0.1195 0.8805 0.7500
U 0.8805 0.1195 0.2500
In 0.3708 0.6292 0.2500
In 0.6292 0.3708 0.7500
Pd 0.0277 0.4616 0.7463
Pd 0.2354 0.3007 0.7581
Pd 0.3007 0.2354 0.2581
Pd 0.4616 0.0277 0.2463
Pd 0.5384 0.9723 0.7537
Pd 0.6993 0.7646 0.7419
Pd 0.7646 0.6993 0.2419
Pd 0.9723 0.5384 0.2537

formation energy from the elements	-276	meV/atom
crystal system	monoclinic
VASP energy	-72.90	eV for the cell shown


[5]
TbDy2Y | GGA-PBE | optimized geometry

Unit cell a=3.5526 b=3.5526 c=10.0616 alpha=90.00 beta=90.00 gamma=90.00
Positions (direct):
Tb 0.0000 0.0000 0.0000
Dy 0.5000 0.5000 0.2490
Dy 0.5000 0.5000 0.7510
Y 0.0000 0.0000 0.5000

formation energy from the elements	20	meV/atom
crystal system	tetragonal
VASP energy	-20.22	eV for the cell shown


[6]
Tm5Co2Ru | GGA-PBE | optimized geometry

Unit cell a=8.5672 b=8.5672 c=8.5672 alpha=131.71 beta=131.71 gamma=70.68
Positions (direct):
Tm 0.0000 0.0000 0.0000
Tm 0.0361 0.5361 0.8569
Tm 0.1792 0.0361 0.5000
Tm 0.3208 0.8208 0.8569
Tm 0.4639 0.3208 0.5000
Tm 0.5000 0.5000 0.0000
Tm 0.5361 0.6792 0.5000
Tm 0.6792 0.1792 0.1431
Tm 0.8208 0.9639 0.5000
Tm 0.9639 0.4639 0.1431
Co 0.1132 0.3868 0.5000
Co 0.3868 0.8868 0.2737
Co 0.6132 0.1132 0.7263
Co 0.8868 0.6132 0.5000
Ru 0.2500 0.2500 0.0000
Ru 0.7500 0.7500 0.0000

formation energy from the elements	-331	meV/atom
crystal system	tetragonal
VASP energy	-96.98	eV for the cell shown


[7]
Mg2HS2 | GGA-PBE | optimized geometry

Unit cell a=6.6050 b=6.6050 c=6.6050 alpha=139.11 beta=139.11 gamma=59.20
Positions (direct):
Mg 0.1560 0.1560 0.0000
Mg 0.8440 0.8440 0.0000
H 0.0000 0.0000 0.0000
S 0.2500 0.7500 0.5000
S 0.7500 0.2500 0.5000

crystal system	tetragonal
VASP energy	-18.01	eV for the cell shown


[8]
Ce2Be4Si3Ge | GGA-PBE | optimized geometry

Unit cell a=4.0514 b=4.0514 c=9.2753 alpha=90.00 beta=90.00 gamma=90.00
Positions (direct):
Ce 0.0000 0.5000 0.2450
Ce 0.5000 0.0000 0.7550
Be 0.0000 0.0000 0.0000
Be 0.0000 0.5000 0.6283
Be 0.5000 0.0000 0.3717
Be 0.5000 0.5000 0.0000
Si 0.0000 0.5000 0.8728
Si 0.5000 0.0000 0.1272
Si 0.5000 0.5000 0.5000
Ge 0.0000 0.0000 0.5000

formation energy from raw total energies	-3.66	eV/f.u.
crystal system	tetragonal
VASP energy	-51.32	eV for the cell shown